Entry from Alexandria: a relaxed Tb11Al9Cu4 crystal (PBE).

```
Tb11Al9Cu4
1.0
-1.403 -0.368 3.303
0.309 -12.617 -1.276
10.664 4.660 5.048
Tb Al Cu
11 9 4
Cartesian
10.173 -3.065 3.978 Tb
8.976 1.844 4.017 Tb
7.609 -5.518 2.616 Tb
4.402 1.119 1.994 Tb
6.817 -1.758 2.698 Tb
3.364 -2.439 1.156 Tb
4.156 -6.198 1.073 Tb
0.800 -4.891 -0.206 Tb
6.570 -9.076 1.778 Tb
0.000 0.000 0.000 Tb
1.997 -9.801 -0.245 Tb
0.211 -2.561 1.774 Al
4.785 -4.163 3.538 Al
8.311 -0.939 5.394 Al
3.481 -8.997 2.445 Al
1.645 -0.170 2.649 Al
6.089 0.672 4.630 Al
1.259 -7.386 1.681 Al
9.359 -5.764 5.301 Al
7.926 -8.155 4.426 Al
7.521 -3.629 4.759 Cu
5.418 -7.139 3.474 Cu
2.049 -4.696 2.316 Cu
4.153 -1.186 3.601 Cu
```

Output
Calculated total energy (eV per atom): -4.59
Size of the total moment (μB per cell): 0.0
Space-group type: Cmmm, No. 65
Energy of formation (kJ/mol of formula units): -885